1.
18
Lattice="-2.3683 -2.3913 -6.2327 -0.0703 -7.6361 4.5570 -7.7866 2.0613 3.7684" Properties=species:S:1:pos:R:3 comment="Ge2Sb4Cl3 | Alexandria | GGA-PBE | optimized geometry" volume_a3_per_cell=546.1 formation_energy_uncorrected_ev_per_atom=-0.17 pbc="T T T"
Ge -6.1492 -6.5138 2.6916
Ge -3.4747 -4.8919 -3.5327
Ge -4.0760 -1.4524 -0.5989
Ge -6.7505 -3.0743 5.6255
Cl -8.7360 -0.7018 2.3725
Cl -5.7642 -4.5060 -0.5179
Cl -6.1832 1.3184 2.2358
Cl -4.4610 -3.4601 2.6106
Cl -4.0420 -9.2846 -0.1431
Cl -1.4892 -7.2644 -0.2797
Sb -1.2716 -5.1596 3.3266
Sb -8.9536 -2.8066 -1.2338
Sb -3.4814 -6.9997 2.3208
Sb -3.1078 -3.9729 -0.9116
Sb -6.9177 -6.9280 0.0295
Sb -6.7438 -0.9664 -0.2280
Sb -7.1174 -3.9933 3.0044
Sb -3.3074 -1.0382 2.0633

2.
18
Lattice="7.9999 -0.8397 -0.8129 1.4721 9.5470 1.1513 1.4721 1.4601 9.5046" Properties=species:S:1:pos:R:3 comment="Ge2SbCl6 | Alexandria | GGA-PBE | optimized geometry" volume_a3_per_cell=732.5 formation_energy_uncorrected_ev_per_atom=-0.68 pbc="T T T"
Cl 3.2250 0.2616 1.0721
Cl 2.0326 1.4872 5.5658
Cl 6.0325 5.1912 0.8996
Cl 7.2249 0.6602 -0.1797
Cl 8.9114 8.6801 4.2772
Cl 7.4751 6.2753 6.8407
Cl 3.4752 7.4603 6.4568
Cl 4.9115 4.9761 8.9434
Cl 7.7190 9.9057 8.7709
Cl 3.4688 3.8920 3.0023
Cl 3.7191 9.5071 10.0227
Cl 7.4688 2.7070 3.3862
Ge 0.9135 1.9950 3.3875
Ge 6.0306 7.1368 8.3653
Ge 10.0305 8.1723 6.4555
Ge 4.9134 3.0305 1.4777
Sb 3.4720 2.0106 8.5159
Sb 7.4720 8.1567 1.3272

3.
8
Lattice="7.2514 0.0000 0.0000 0.0000 7.2514 0.0000 3.6257 3.6257 5.0364" Properties=species:S:1:pos:R:3 comment="GeSb2Cl | Alexandria | GGA-PBE | optimized geometry" volume_a3_per_cell=264.8 relative_energy_mev_per_atom=355 formation_energy_uncorrected_ev_per_atom=0.22 pbc="T T T"
Cl 3.6257 7.2514 2.5182
Cl 3.6257 3.6257 0.0000
Sb 1.5772 5.4386 1.2591
Sb 9.0643 9.2999 3.7773
Sb 5.6742 1.8129 1.2591
Sb 5.4386 5.2029 3.7773
Ge 7.2514 3.6257 2.5182
Ge 0.0000 0.0000 0.0000

4.
5
Lattice="-0.1642 3.6124 -2.4112 -2.6287 1.8382 2.9328 4.2640 5.2943 3.7242" Properties=species:S:1:pos:R:3 comment="Ge2Sb2Cl | Alexandria | GGA-PBE | optimized geometry" volume_a3_per_cell=134.4 relative_energy_mev_per_atom=0 formation_energy_uncorrected_ev_per_atom=-0.04 pbc="T T T"
Ge 1.3517 5.8160 0.7869
Ge 0.1194 4.9289 3.4589
Sb 0.0011 3.3595 1.1159
Sb 1.4701 7.3853 3.1299
Cl 0.0000 0.0000 0.0000

5.
5
Lattice="-0.8089 -3.8090 3.3058 5.9438 -0.4210 0.9694 -0.3811 3.3847 3.8066" Properties=species:S:1:pos:R:3 comment="ScGeSbCl2 | Alexandria | GGA-PBE | optimized geometry" volume_a3_per_cell=157.5 formation_energy_uncorrected_ev_per_atom=0.14 pbc="T T T"
Cl -0.1906 1.6923 1.9033
Cl -0.4045 -1.9045 1.6529
Sc 2.9719 -0.2105 0.4847
Ge 2.3769 -0.4227 4.0409
Sb 0.0000 0.0000 0.0000

6.
5
Lattice="5.5215 0.0000 0.0000 0.0000 5.0010 0.0000 0.0000 0.0000 5.5215" Properties=species:S:1:pos:R:3 comment="Sc2GeSbCl | Alexandria | GGA-PBE | optimized geometry" volume_a3_per_cell=152.5 formation_energy_uncorrected_ev_per_atom=0.24 pbc="T T T"
Sc 2.7608 0.0000 0.0000
Sc 0.0000 0.0000 2.7608
Cl 0.0000 2.5005 0.0000
Ge 2.7608 2.5005 2.7608
Sb 0.0000 0.0000 0.0000

7.
5
Lattice="-4.5945 -3.0827 -2.2762 0.7977 -4.2987 4.2115 -3.7505 2.8883 3.6585" Properties=species:S:1:pos:R:3 comment="SrGe2SbCl | Alexandria | GGA-PBE | optimized geometry" volume_a3_per_cell=217.3 formation_energy_uncorrected_ev_per_atom=0.97 pbc="T T T"
Ge -2.2972 -1.5413 -1.1381
Ge -1.8752 1.4442 1.8293
Sr 0.0000 0.0000 0.0000
Cl -3.7736 -2.2465 2.7969
Sb 0.3989 -2.1493 2.1057

8.
5
Lattice="-4.7295 -1.7339 1.8723 -0.4183 -3.3627 -4.1709 2.2258 -3.3744 2.4974" Properties=species:S:1:pos:R:3 comment="TcGeSb2Cl | Alexandria | GGA-PBE | optimized geometry" volume_a3_per_cell=137.2 formation_energy_uncorrected_ev_per_atom=0.97 pbc="T T T"
Tc -1.4610 -4.2355 0.0994
Sb -0.2092 -1.6814 -2.0855
Sb -2.3647 -0.8669 0.9361
Cl 1.1129 -1.6872 1.2487
Ge 0.0000 0.0000 0.0000

- Number 4 is which compound?
  Ge2Sb2Cl